First-principles (PBE) data for a geometry-optimized Rb3RuCl7 structure, as listed in Alexandria via LeMat-Bulk.

Calculated values
Formation energy from raw total energies: -1312 meV/atom
E: -79.08 eV/cell
Calculated density: 2.909 g cm⁻³
V: 31.43 Å³ per atom

Unit cell a=6.977 b=9.955 c=9.955 alpha=90.00 beta=90.00 gamma=90.00
Site moments in Bohr magnetons follow the coordinates.
Element x y z (fractional)
Rb (0.500, 0.177, 0.677)  0.00
Rb (0.000, 0.500, 0.500)  0.00
Rb (0.500, 0.677, 0.823)  0.00
Rb (0.500, 0.823, 0.323)  0.00
Rb (0.000, 0.000, 0.000)  0.00
Rb (0.500, 0.323, 0.177)  0.00
Cl (0.760, 0.617, 0.117)  0.06
Cl (0.240, 0.117, 0.383)  0.06
Cl (0.760, 0.383, 0.883)  0.06
Cl (0.760, 0.883, 0.617)  0.06
Cl (0.240, 0.883, 0.617)  0.06
Cl (0.240, 0.383, 0.883)  0.06
Cl (0.500, 0.500, 0.500)  0.01
Cl (0.000, 0.333, 0.167)  0.05
Cl (0.000, 0.167, 0.667)  0.05
Cl (0.500, 0.000, 0.000)  0.01
Cl (0.000, 0.833, 0.333)  0.05
Cl (0.000, 0.667, 0.833)  0.05
Cl (0.240, 0.617, 0.117)  0.06
Cl (0.760, 0.117, 0.383)  0.06
Ru (0.000, 0.000, 0.500)  1.42
Ru (0.000, 0.500, 0.000)  1.42



First-principles (PBE) data for a geometry-optimized RbRuCl6 structure, as listed in Alexandria via LeMat-Bulk.

Calculated values
Energy above the lowest structure with this stoichiometry: 0.0 kJ per mole of atoms
Formation energy from raw total energies: -839 meV/atom
E: -56.06 eV/cell
Calculated density: 2.495 g cm⁻³
V: 33.22 Å³ per atom

Unit cell a=6.872 b=6.872 c=11.328 alpha=88.13 beta=88.13 gamma=83.91
Site moments in Bohr magnetons follow the coordinates.
Element x y z (fractional)
Cl (0.334, 0.730, 0.044)  0.15
Cl (0.802, 0.797, 0.509)  0.09
Cl (0.730, 0.334, 0.544)  0.15
Cl (0.797, 0.802, 0.009)  0.09
Cl (0.513, 0.060, 0.201)  0.11
Cl (0.666, 0.270, 0.956)  0.15
Cl (0.198, 0.203, 0.491)  0.09
Cl (0.270, 0.666, 0.456)  0.15
Cl (0.487, 0.940, 0.799)  0.11
Cl (0.203, 0.198, 0.991)  0.09
Cl (0.940, 0.487, 0.299)  0.11
Cl (0.060, 0.513, 0.701)  0.11
Ru (0.000, 0.500, 0.500)  1.89
Ru (0.500, 0.000, 0.000)  1.89
Rb (0.987, 0.013, 0.750)  0.01
Rb (0.013, 0.987, 0.250)  0.01



First-principles (PBE) data for a geometry-optimized RbRuCl6 structure, as listed in Alexandria via LeMat-Bulk.

Calculated values
Energy above the lowest structure with this stoichiometry: 1.9 kJ per mole of atoms
Formation energy from raw total energies: -819 meV/atom
E: -27.88 eV/cell
Calculated density: 2.591 g cm⁻³
V: 31.98 Å³ per atom

Unit cell a=6.891 b=6.891 c=7.384 alpha=62.18 beta=62.18 gamma=60.00
Site moments in Bohr magnetons follow the coordinates.
Element x y z (fractional)
Cl (0.913, 0.389, 0.784)  0.13
Cl (0.389, 0.913, 0.784)  0.13
Cl (0.913, 0.913, 0.784)  0.13
Cl (0.087, 0.611, 0.216)  0.13
Cl (0.087, 0.087, 0.216)  0.13
Cl (0.611, 0.087, 0.216)  0.13
Rb (0.500, 0.500, 0.500)  0.00
Ru (0.000, 0.000, 0.000)  1.92